# 1
{"formula": "YCdBi", "functional": "GGA-PBE", "state": "optimized geometry", "lattice": [[4.968, 0.000, 0.000], [2.484, 4.303, 0.000], [2.484, 1.434, 8.530]], "species": ["Bi", "Bi", "Cd", "Cd", "Y", "Y"], "frac_coords": [[0.290, 0.290, 0.131], [0.710, 0.710, 0.869], [0.838, 0.838, 0.487], [0.162, 0.162, 0.513], [0.573, 0.573, 0.280], [0.427, 0.427, 0.720]], "ef_mev_per_atom": -299.4, "total_energy_ev_per_atom": -4.0528, "magmom_total_mub_per_fu": 0.00, "dos_ef_per_ev_fu": 3.11, "density_g_cm3": 7.47}

***

# 2
{"formula": "Th3CuNi8", "functional": "GGA-PBE", "state": "optimized geometry", "lattice": [[5.052, 0.000, 0.000], [2.526, 4.375, 0.000], [2.526, 1.458, 8.398]], "species": ["Ni", "Ni", "Ni", "Ni", "Ni", "Ni", "Ni", "Ni", "Th", "Th", "Th", "Cu"], "frac_coords": [[0.689, 0.689, 0.934], [0.939, 0.939, 0.681], [0.189, 0.189, 0.433], [0.944, 0.435, 0.186], [0.435, 0.944, 0.186], [0.435, 0.435, 0.186], [0.440, 0.939, 0.681], [0.939, 0.440, 0.681], [0.381, 0.381, 0.858], [0.510, 0.510, 0.469], [0.985, 0.985, 0.044], [0.864, 0.864, 0.409]], "ef_mev_per_atom": -390.2, "total_energy_ev_per_atom": -6.4407, "magmom_total_mub_per_fu": 0.00, "dos_ef_per_ev_fu": 5.94, "density_g_cm3": 11.00}

***

# 3
{"formula": "LiFeCo", "functional": "GGA-PBE", "state": "optimized geometry", "lattice": [[4.819, 0.000, 0.000], [0.000, 3.969, 0.000], [0.000, 0.000, 7.296]], "species": ["Co", "Co", "Co", "Co", "Li", "Li", "Li", "Li", "Fe", "Fe", "Fe", "Fe"], "frac_coords": [[0.666, 0.750, 0.582], [0.166, 0.750, 0.918], [0.834, 0.250, 0.082], [0.334, 0.250, 0.418], [0.055, 0.750, 0.245], [0.945, 0.250, 0.755], [0.445, 0.250, 0.745], [0.555, 0.750, 0.255], [0.162, 0.750, 0.578], [0.662, 0.750, 0.922], [0.338, 0.250, 0.078], [0.838, 0.250, 0.422]], "ef_mev_per_atom": 139.8, "relative_energy_mev_per_atom": 15, "total_energy_ev_per_atom": -5.6877, "magmom_total_mub_per_fu": 4.03, "dos_ef_per_ev_fu": 1.30, "density_g_cm3": 5.79}

***

# 4
{"formula": "In2PtRh", "functional": "GGA-PBE", "state": "optimized geometry", "lattice": [[3.629, 0.000, 0.000], [0.000, 3.629, 0.000], [0.000, 0.000, 5.660]], "species": ["In", "In", "Rh", "Pt"], "frac_coords": [[0.000, 0.000, 0.957], [0.500, 0.500, 0.290], [0.500, 0.500, 0.786], [0.000, 0.000, 0.467]], "ef_mev_per_atom": -230.0, "total_energy_ev_per_atom": -4.9472, "magmom_total_mub_per_fu": 0.00, "dos_ef_per_ev_fu": 2.74, "density_g_cm3": 11.75}

***

# 5
{"formula": "CoSb2MoI", "functional": "GGA-PBE", "state": "optimized geometry", "lattice": [[-4.589, -1.537, 0.157], [0.316, -0.452, 4.811], [-1.688, 5.103, 0.590]], "species": ["Sb", "Sb", "Co", "I", "Mo"], "frac_coords": [[0.500, 0.000, 0.000], [0.000, 0.500, 0.000], [0.000, 0.000, 0.000], [0.000, 0.000, 0.500], [0.500, 0.500, 0.500]], "e_form_raw_ev_per_atom": 0.998, "relative_energy_mev_per_atom": 0, "total_energy_ev_per_atom": -4.5481, "magmom_total_mub_per_fu": 3.15, "dos_ef_per_ev_fu": 4.25, "density_g_cm3": 6.88}

***

# 6
{"formula": "MgIrBr2", "functional": "GGA-PBE", "state": "optimized geometry", "lattice": [[-2.911, 0.907, 1.026], [-1.109, -0.149, -3.016], [-2.183, -8.378, 1.216]], "species": ["Br", "Br", "Ir", "Mg"], "frac_coords": [[0.000, 0.000, 0.915], [0.500, 0.500, 0.334], [0.000, 0.000, 0.521], [0.500, 0.500, 0.730]], "e_form_raw_ev_per_atom": 0.027, "relative_energy_mev_per_atom": 264, "total_energy_ev_per_atom": -3.4234, "magmom_total_mub_per_fu": 0.89, "dos_ef_per_ev_fu": 3.66, "density_g_cm3": 6.91}

***

# 7
{"formula": "Al4HgCl2", "functional": "GGA-PBE", "state": "optimized geometry", "lattice": [[-2.964, -3.472, 2.049], [3.633, -1.200, 3.224], [-2.537, 3.253, 7.951]], "species": ["Cl", "Cl", "Al", "Al", "Al", "Al", "Hg"], "frac_coords": [[0.398, 0.398, 0.204], [0.602, 0.602, 0.796], [0.749, 0.749, 0.502], [0.500, 0.000, 0.000], [0.251, 0.251, 0.498], [0.000, 0.500, 0.000], [0.000, 0.000, 0.000]], "e_form_raw_ev_per_atom": 0.175, "total_energy_ev_per_atom": -2.5340, "magmom_total_mub_per_fu": 0.00, "dos_ef_per_ev_fu": 3.53, "density_g_cm3": 3.06}

***

# 8
{"formula": "ZnFeBr2", "functional": "GGA-PBE", "state": "optimized geometry", "lattice": [[3.267, 0.000, 0.000], [0.000, 3.268, 0.000], [0.000, 0.000, 9.321]], "species": ["Br", "Br", "Zn", "Fe"], "frac_coords": [[0.000, 0.000, 0.423], [0.000, 0.000, 0.077], [0.500, 0.500, 0.750], [0.500, 0.500, 0.250]], "e_form_raw_ev_per_atom": 0.146, "relative_energy_mev_per_atom": 244, "total_energy_ev_per_atom": -3.1248, "magmom_total_mub_per_fu": 3.83, "dos_ef_per_ev_fu": 1.98, "density_g_cm3": 4.69}

***

# 9
{"formula": "KRbZn", "functional": "GGA-PBE", "state": "optimized geometry", "lattice": [[-0.579, 1.518, -5.053], [-1.206, -5.608, -1.547], [-4.404, 3.652, 1.602]], "species": ["Rb", "K", "Zn"], "frac_coords": [[0.047, 0.000, 0.000], [0.573, 0.333, 0.667], [0.381, 0.667, 0.333]], "ef_mev_per_atom": 198.2, "relative_energy_mev_per_atom": 97, "total_energy_ev_per_atom": -0.9148, "magmom_total_mub_per_fu": 0.00, "dos_ef_per_ev_fu": 1.56, "density_g_cm3": 1.94}

***

# 10
{"formula": "CoReSn", "functional": "GGA-PBE", "state": "optimized geometry", "lattice": [[-1.192, -4.022, -0.827], [2.335, 1.742, -0.787], [5.106, -3.180, 8.108]], "species": ["Re", "Re", "Sn", "Sn", "Co", "Co"], "frac_coords": [[0.694, 0.389, 0.638], [0.694, 0.389, 0.362], [0.195, 0.389, 0.834], [0.195, 0.389, 0.166], [0.695, 0.389, 0.000], [0.194, 0.389, 0.500]], "ef_mev_per_atom": 386.6, "total_energy_ev_per_atom": -7.4657, "magmom_total_mub_per_fu": 0.64, "dos_ef_per_ev_fu": 2.66, "density_g_cm3": 13.14}

***

# 11
{"formula": "Pm4PrDy5", "functional": "GGA-PBE", "state": "optimized geometry", "lattice": [[3.369, -0.083, -1.283], [-0.340, 7.057, -1.358], [-0.470, 0.819, 13.917]], "species": ["Pr", "Dy", "Dy", "Dy", "Dy", "Dy", "Pm", "Pm", "Pm", "Pm"], "frac_coords": [[0.500, 0.000, 0.000], [0.500, 0.500, 0.000], [0.104, 0.101, 0.403], [0.105, 0.601, 0.403], [0.896, 0.899, 0.597], [0.895, 0.399, 0.597], [0.694, 0.201, 0.796], [0.695, 0.697, 0.797], [0.306, 0.799, 0.204], [0.305, 0.303, 0.203]], "ef_mev_per_atom": 15.1, "relative_energy_mev_per_atom": 0, "total_energy_ev_per_atom": -4.6642, "magmom_total_mub_per_fu": 0.00, "dos_ef_per_ev_fu": 12.51, "density_g_cm3": 7.71}

***

# 12
{"formula": "Sn2Rh2Au", "functional": "GGA-PBE", "state": "optimized geometry", "lattice": [[-7.159, 1.832, 1.335], [-0.947, -6.436, 3.751], [0.879, 1.455, 2.719]], "species": ["Rh", "Rh", "Rh", "Rh", "Sn", "Sn", "Sn", "Sn", "Au", "Au"], "frac_coords": [[0.141, 0.359, 0.000], [0.859, 0.641, 0.000], [0.641, 0.141, 0.000], [0.359, 0.859, 0.000], [0.342, 0.158, 0.500], [0.158, 0.658, 0.500], [0.658, 0.842, 0.500], [0.842, 0.342, 0.500], [0.000, 0.000, 0.000], [0.500, 0.500, 0.000]], "ef_mev_per_atom": -344.0, "relative_energy_mev_per_atom": 0, "total_energy_ev_per_atom": -5.5412, "magmom_total_mub_per_fu": 0.00, "dos_ef_per_ev_fu": 2.88, "density_g_cm3": 11.76}

***

# 13
{"formula": "BeCBr2", "functional": "GGA-PBE", "state": "optimized geometry", "lattice": [[6.430, 0.000, 0.000], [0.000, 6.430, 0.000], [3.215, 3.215, 4.562]], "species": ["Br", "Br", "Br", "Br", "C", "C", "Be", "Be"], "frac_coords": [[0.217, 0.625, 0.250], [0.533, 0.125, 0.250], [0.375, 0.467, 0.750], [0.875, 0.783, 0.750], [0.000, 0.000, 0.000], [0.750, 0.250, 0.500], [0.500, 0.500, 0.000], [0.250, 0.750, 0.500]], "e_form_raw_ev_per_atom": 1.226, "relative_energy_mev_per_atom": 0, "total_energy_ev_per_atom": -2.8481, "magmom_total_mub_per_fu": 2.00, "dos_ef_per_ev_fu": 5.01, "density_g_cm3": 3.18}

***

# 14
{"formula": "CaTl3P", "functional": "GGA-PBE", "state": "optimized geometry", "lattice": [[-0.254, 4.515, -3.687], [-5.817, 0.043, 0.453], [0.378, 3.696, 4.500]], "species": ["Tl", "Tl", "Tl", "Ca", "P"], "frac_coords": [[0.500, 0.000, 0.000], [0.000, 0.000, 0.500], [0.000, 0.500, 0.000], [0.000, 0.000, 0.000], [0.500, 0.500, 0.500]], "ef_mev_per_atom": 840.4, "relative_energy_mev_per_atom": 629, "total_energy_ev_per_atom": -2.0616, "magmom_total_mub_per_fu": 0.00, "dos_ef_per_ev_fu": 2.26, "density_g_cm3": 5.72}

***

# 15
{"formula": "KTlHgPd", "functional": "GGA-PBE", "state": "optimized geometry", "lattice": [[4.772, 0.000, 0.000], [2.386, 4.133, 0.000], [2.386, 1.378, 6.193]], "species": ["K", "Pd", "Tl", "Hg"], "frac_coords": [[0.816, 0.816, 0.553], [0.627, 0.627, 0.118], [0.017, 0.017, 0.949], [0.266, 0.266, 0.202]], "ef_mev_per_atom": -166.2, "relative_energy_mev_per_atom": 0, "total_energy_ev_per_atom": -2.4058, "magmom_total_mub_per_fu": 0.00, "dos_ef_per_ev_fu": 2.05, "density_g_cm3": 7.48}

***

# 16
{"formula": "IrSe2", "functional": "GGA-PBE", "state": "optimized geometry", "lattice": [[3.448, -5.973, 0.000], [3.448, 5.973, 0.000], [0.000, 0.000, 3.953]], "species": ["Ir", "Ir", "Ir", "Se", "Se", "Se", "Se", "Se", "Se"], "frac_coords": [[0.000, 0.000, 0.500], [0.667, 0.333, 0.000], [0.333, 0.667, 0.000], [0.601, 0.000, 0.500], [0.269, 0.000, 0.000], [0.731, 0.731, 0.000], [0.000, 0.269, 0.000], [0.399, 0.399, 0.500], [0.000, 0.601, 0.500]], "e_form_raw_ev_per_atom": 0.291, "total_energy_ev_per_atom": -4.9853, "magmom_total_mub_per_fu": 0.00, "dos_ef_per_ev_fu": 0.74, "density_g_cm3": 10.71}

***

# 17
{"formula": "Pu3CdNi8", "functional": "GGA-PBE", "state": "optimized geometry", "lattice": [[-3.529, -1.024, 3.413], [-3.559, -3.385, -1.012], [2.366, -7.374, 3.919]], "species": ["Ni", "Ni", "Ni", "Ni", "Ni", "Ni", "Ni", "Ni", "Pu", "Pu", "Pu", "Cd"], "frac_coords": [[0.937, 0.440, 0.685], [0.687, 0.687, 0.938], [0.437, 0.936, 0.190], [0.937, 0.937, 0.685], [0.437, 0.437, 0.190], [0.188, 0.188, 0.437], [0.936, 0.437, 0.190], [0.440, 0.937, 0.685], [0.375, 0.375, 0.876], [0.001, 0.001, 0.998], [0.500, 0.500, 0.500], [0.875, 0.875, 0.374]], "ef_mev_per_atom": -227.6, "total_energy_ev_per_atom": -7.7411, "magmom_total_mub_per_fu": 14.49, "dos_ef_per_ev_fu": 33.33, "density_g_cm3": 12.24}

***

# 18
{"formula": "BaTi2Mn", "functional": "GGA-PBE", "state": "optimized geometry", "lattice": [[6.925, 0.000, 0.000], [0.000, 6.925, 0.000], [3.462, 3.462, 4.906]], "species": ["Mn", "Mn", "Ti", "Ti", "Ti", "Ti", "Ba", "Ba"], "frac_coords": [[0.500, 0.500, 0.000], [0.250, 0.750, 0.500], [0.375, 0.125, 0.250], [0.375, 0.625, 0.250], [0.375, 0.625, 0.750], [0.875, 0.625, 0.750], [0.750, 0.250, 0.500], [0.000, 0.000, 0.000]], "ef_mev_per_atom": 814.6, "relative_energy_mev_per_atom": 0, "total_energy_ev_per_atom": -5.9059, "magmom_total_mub_per_fu": 1.07, "dos_ef_per_ev_fu": 5.72, "density_g_cm3": 4.07}

***

# 19
{"formula": "LiLuPaIr", "functional": "GGA-PBE", "state": "optimized geometry", "lattice": [[4.877, 0.000, 0.000], [2.438, 4.223, 0.000], [2.438, 1.408, 3.982]], "species": ["Pa", "Lu", "Li", "Ir"], "frac_coords": [[0.000, 0.000, 0.000], [0.500, 0.500, 0.500], [0.750, 0.750, 0.750], [0.250, 0.250, 0.250]], "ef_mev_per_atom": -329.6, "total_energy_ev_per_atom": -6.5276, "magmom_total_mub_per_fu": 0.19, "dos_ef_per_ev_fu": 4.71, "density_g_cm3": 12.25}

***

# 20
{"formula": "NaCrGeTe3", "functional": "GGA-PBE", "state": "optimized geometry", "lattice": [[4.087, 0.000, 0.000], [0.000, 7.356, -1.388], [0.000, -3.218, 12.286]], "species": ["Te", "Te", "Te", "Te", "Te", "Te", "Cr", "Cr", "Na", "Na", "Ge", "Ge"], "frac_coords": [[0.750, 0.430, 0.640], [0.250, 0.570, 0.360], [0.250, 0.112, 0.757], [0.250, 0.657, 0.947], [0.750, 0.888, 0.243], [0.750, 0.343, 0.053], [0.250, 0.614, 0.153], [0.750, 0.386, 0.847], [0.750, 0.875, 0.843], [0.250, 0.125, 0.157], [0.250, 0.153, 0.554], [0.750, 0.847, 0.446]], "e_form_raw_ev_per_atom": -0.349, "total_energy_ev_per_atom": -4.5134, "magmom_total_mub_per_fu": 3.00, "density_g_cm3": 5.02}